[1]
The following is a DFT calculation (PBE) of PaAl6Cu6 after structural relaxation.

Lattice parameters (Å, degrees): 5.0464 6.6609 6.6609 80.74 67.74 67.74
With the nearest neighbours (Å) after each atom.
Element x y z (fractional)
Cu (0.0000, 0.0000, 0.5000)  4 Cu 2.52-2.54, 6 Al 2.53-2.67
Cu (0.5000, 0.7708, 0.2292)  4 Cu 2.54, 6 Al 2.66-2.72
Al (0.0000, 0.6523, 0.3477)  3 Al 2.63-2.93, 6 Cu 2.67-2.72
Cu (0.5000, 0.5000, 0.0000)  4 Cu 2.52-2.54, 6 Al 2.53-2.67
Cu (0.5000, 0.2292, 0.7708)  4 Cu 2.54, 6 Al 2.66-2.72
Cu (0.0000, 0.5000, 0.0000)  4 Cu 2.52-2.54, 6 Al 2.53-2.67
Pa (0.0000, 0.0000, 0.0000)  8 Al 3.00-3.09, 12 Cu 3.21-3.33
Al (0.7025, 0.7975, 0.7975)  6 Cu 2.53-2.66, 2 Al 2.83
Al (0.0000, 0.3477, 0.6523)  3 Al 2.63-2.93, 6 Cu 2.67-2.72
Al (0.6511, 0.3489, 0.3489)  6 Cu 2.65-2.69, 3 Al 2.66-2.83
Al (0.2975, 0.2025, 0.2025)  6 Cu 2.53-2.66, 2 Al 2.83
Cu (0.5000, 0.0000, 0.5000)  4 Cu 2.52-2.54, 6 Al 2.53-2.67
Al (0.3489, 0.6511, 0.6511)  6 Cu 2.65-2.69, 3 Al 2.66-2.83

Summary:
Symmetry ... No. 71

---

[2]
The following is a DFT calculation (PBE) of PaAl2Cu2 after structural relaxation.

Lattice parameters (Å, degrees): 4.1604 4.1604 9.9103 90.00 90.00 90.00
With the nearest neighbours (Å) after each atom.
Element x y z (fractional)
Al (0.5000, 0.0000, 0.8721)  5 Cu 2.36-2.44
Pa (0.0000, 0.5000, 0.7569)  8 Al 3.16-3.29, 8 Cu 3.18
Al (0.0000, 0.0000, 0.5000)  4 Cu 2.47
Cu (0.5000, 0.5000, 0.0000)  4 Al 2.44
Cu (0.0000, 0.5000, 0.3660)  5 Al 2.36-2.47
Cu (0.5000, 0.0000, 0.6340)  5 Al 2.36-2.47
Pa (0.5000, 0.0000, 0.2431)  8 Al 3.16-3.29, 8 Cu 3.18
Cu (0.0000, 0.0000, 0.0000)  4 Al 2.44
Al (0.5000, 0.5000, 0.5000)  4 Cu 2.47
Al (0.0000, 0.5000, 0.1279)  5 Cu 2.36-2.44

Summary:
Distance to the lowest polymorph of the same formula ... 0.0000 eV/atom
Symmetry ... No. 129

---

[3]
The following is a DFT calculation (PBE) of Pa2Al5Cu5 after structural relaxation.

Lattice parameters (Å, degrees): 4.1206 5.2978 8.9413 90.00 90.00 90.00
With the nearest neighbours (Å) after each atom.
Element x y z (fractional)
Cu (0.5000, 0.0000, 0.0000)  4 Cu 2.52, 4 Al 2.52
Al (0.5000, 0.5000, 0.5000)  4 Cu 2.54, 4 Al 2.68
Al (0.5000, 0.2493, 0.2400)  5 Cu 2.52-2.59, 3 Al 2.64-2.68
Al (0.5000, 0.2493, 0.7600)  5 Cu 2.52-2.59, 3 Al 2.64-2.68
Pa (0.0000, 0.5000, 0.0000)  6 Cu 2.98-3.02, 8 Al 3.26
Cu (0.0000, 0.0000, 0.8385)  2 Cu 2.52, 4 Al 2.55
Cu (0.0000, 0.5000, 0.6667)  6 Al 2.54-2.59
Cu (0.0000, 0.5000, 0.3333)  6 Al 2.54-2.59
Pa (0.0000, 0.0000, 0.5000)  6 Cu 3.03-3.04, 12 Al 3.36-3.38
Al (0.5000, 0.7507, 0.7600)  5 Cu 2.52-2.59, 3 Al 2.64-2.68
Cu (0.0000, 0.0000, 0.1615)  2 Cu 2.52, 4 Al 2.55
Al (0.5000, 0.7507, 0.2400)  5 Cu 2.52-2.59, 3 Al 2.64-2.68

Summary:
Symmetry ... No. 47

---

[4]
The following is a DFT calculation (PBE) of PaAl2Cu9 after structural relaxation.

Lattice parameters (Å, degrees): 4.9344 4.9344 8.4692 73.06 73.06 60.00
With the nearest neighbours (Å) after each atom.
Element x y z (fractional)
Cu (0.4101, 0.9195, 0.2603)  7 Cu 2.40-2.52
Cu (0.9195, 0.4101, 0.2603)  7 Cu 2.40-2.52
Cu (0.6658, 0.6658, 0.0027)  6 Cu 2.52
Cu (0.5899, 0.0805, 0.7397)  7 Cu 2.40-2.52
Cu (0.0805, 0.5899, 0.7397)  7 Cu 2.40-2.52
Al (0.1435, 0.1435, 0.5694)  12 Cu 2.82-2.90, 3 Al 3.06
Pa (0.0000, 0.0000, 0.0000)  6 Cu 2.85
Cu (0.4101, 0.4101, 0.2603)  7 Cu 2.40-2.52
Cu (0.5899, 0.5899, 0.7397)  7 Cu 2.40-2.52
Cu (0.5000, 0.5000, 0.5000)  6 Cu 2.40
Cu (0.3342, 0.3342, 0.9973)  6 Cu 2.52
Al (0.8565, 0.8565, 0.4306)  12 Cu 2.82-2.90, 3 Al 3.06

Summary:
Symmetry ... No. 166

---

[5]
The following is a DFT calculation (PBE) of PaAl2Cu2 after structural relaxation.

Lattice parameters (Å, degrees): 4.2160 4.2160 5.6527 110.85 110.85 90.32
With the nearest neighbours (Å) after each atom.
Element x y z (fractional)
Al (0.6123, 0.6123, 0.7565)  4 Cu 2.42-2.43, 1 Al 2.51
Pa (0.0000, 0.0000, 0.5000)  8 Cu 3.14-3.31, 8 Al 3.17-3.28
Cu (0.2287, 0.7713, 0.0000)  4 Al 2.42-2.43
Al (0.3877, 0.3877, 0.2435)  4 Cu 2.42-2.43, 1 Al 2.51
Cu (0.7713, 0.2287, 0.0000)  4 Al 2.42-2.43

Summary:
Distance to the lowest polymorph of the same formula ... 0.0473 eV/atom
Symmetry ... No. 12

---

[6]
The following is a DFT calculation (PBE) of Pa2AlCu after structural relaxation.

Lattice parameters (Å, degrees): 4.4699 4.2525 4.2525 90.00 90.00 90.00
With the nearest neighbours (Å) after each atom.
Element x y z (fractional)
Cu (0.5000, 0.5000, 0.5000)  4 Al 3.01, 8 Pa 3.08
Pa (0.0000, 0.5000, 0.0000)  4 Pa 3.01, 4 Cu 3.08, 4 Al 3.08
Pa (0.0000, 0.0000, 0.5000)  4 Pa 3.01, 4 Cu 3.08, 4 Al 3.08
Al (0.5000, 0.0000, 0.0000)  4 Cu 3.01, 8 Pa 3.08

Summary:
Distance to the lowest polymorph of the same formula ... 0.0094 eV/atom
Symmetry ... No. 123

---

[7]
The following is a DFT calculation (PBE) of PaAlCu5 after structural relaxation.

Lattice parameters (Å, degrees): 5.0019 8.0671 10.2089 90.00 90.00 90.00
With the nearest neighbours (Å) after each atom.
Element x y z (fractional)
Al (0.2500, 0.3561, 0.6439)  8 Cu 2.48-2.72
Pa (0.7500, 0.7544, 0.0578)  11 Cu 2.85-3.19, 1 Al 3.17
Cu (0.9936, 0.9321, 0.3070)  7 Cu 2.44-2.57, 2 Al 2.67-2.68
Cu (0.4936, 0.5679, 0.8070)  7 Cu 2.44-2.57, 2 Al 2.67-2.68
Cu (0.2500, 0.4331, 0.4086)  1 Al 2.48, 4 Cu 2.53-2.64
Cu (0.7500, 0.8202, 0.7550)  7 Cu 2.46-2.64, 2 Al 2.72
Cu (0.7500, 0.5669, 0.5914)  1 Al 2.48, 4 Cu 2.53-2.64
Al (0.7500, 0.6439, 0.3561)  8 Cu 2.48-2.72
Cu (0.4936, 0.0679, 0.6930)  7 Cu 2.44-2.57, 2 Al 2.67-2.68
Cu (0.0064, 0.0679, 0.6930)  7 Cu 2.44-2.57, 2 Al 2.67-2.68
Al (0.7500, 0.1439, 0.1439)  8 Cu 2.48-2.72
Cu (0.7500, 0.0669, 0.9086)  1 Al 2.48, 4 Cu 2.53-2.64
Cu (0.0064, 0.5679, 0.8070)  7 Cu 2.44-2.57, 2 Al 2.67-2.68
Cu (0.2500, 0.1798, 0.2450)  7 Cu 2.46-2.64, 2 Al 2.72
Cu (0.2500, 0.0921, 0.4828)  5 Cu 2.47-2.56, 1 Al 2.69
Pa (0.2500, 0.7456, 0.5578)  11 Cu 2.85-3.19, 1 Al 3.17
Cu (0.9936, 0.4321, 0.1930)  7 Cu 2.44-2.57, 2 Al 2.67-2.68
Cu (0.7500, 0.9079, 0.5172)  5 Cu 2.47-2.56, 1 Al 2.69
Cu (0.2500, 0.9331, 0.0914)  1 Al 2.48, 4 Cu 2.53-2.64
Pa (0.7500, 0.2544, 0.4422)  11 Cu 2.85-3.19, 1 Al 3.17
Cu (0.2500, 0.6798, 0.2550)  7 Cu 2.46-2.64, 2 Al 2.72
Cu (0.2500, 0.5921, 0.0172)  5 Cu 2.47-2.56, 1 Al 2.69
Al (0.2500, 0.8561, 0.8561)  8 Cu 2.48-2.72
Cu (0.5064, 0.4321, 0.1930)  7 Cu 2.44-2.57, 2 Al 2.67-2.68
Cu (0.7500, 0.3202, 0.7450)  7 Cu 2.46-2.64, 2 Al 2.72
Cu (0.5064, 0.9321, 0.3070)  7 Cu 2.44-2.57, 2 Al 2.67-2.68
Pa (0.2500, 0.2456, 0.9422)  11 Cu 2.85-3.19, 1 Al 3.17
Cu (0.7500, 0.4079, 0.9828)  5 Cu 2.47-2.56, 1 Al 2.69

Summary:
Symmetry ... No. 62

---

[8]
The following is a DFT calculation (PBE) of PaAlCuPd after structural relaxation.

Lattice parameters (Å, degrees): 4.6936 4.6936 4.6936 60.00 60.00 60.00
With the nearest neighbours (Å) after each atom.
Element x y z (fractional)
Pd (0.7500, 0.7500, 0.7500)  4 Al 2.87, 4 Pa 2.87
Cu (0.2500, 0.2500, 0.2500)  4 Pa 2.87, 4 Al 2.87
Al (0.5000, 0.5000, 0.5000)  4 Pd 2.87, 4 Cu 2.87
Pa (0.0000, 0.0000, 0.0000)  4 Cu 2.87, 4 Pd 2.87

Summary:
Symmetry ... No. 216

---

Number 1: energy of formation from the pure elements -275 meV/atom, M_tot 0.001 μB/f.u.. Number 2: energy of formation from the pure elements -254 meV/atom, M_tot 0.000 μB/f.u.. Number 3: energy of formation from the pure elements -289 meV/atom, M_tot 0.000 μB/f.u.. Number 4: energy of formation from the pure elements -101 meV/atom, M_tot 0.000 μB/f.u.. Number 5: energy of formation from the pure elements -207 meV/atom, M_tot 0.000 μB/f.u.. Number 6: energy of formation from the pure elements -33 meV/atom, M_tot 0.000 μB/f.u.. Number 7: energy of formation from the pure elements -166 meV/atom, M_tot 0.000 μB/f.u.. Number 8: energy of formation from the pure elements -371 meV/atom, M_tot 0.000 μB/f.u..